Model P:
This record from Alexandria describes a relaxed Mg2AgSb crystal. The functional is PBE.

CIF file:
```
data_Mg2AgSb
_symmetry_space_group_name_H-M 'P 1'
_symmetry_Int_Tables_number 1
_symmetry_space_group_name_Hall 'P 1'
_cell_length_a 5.0298
_cell_length_b 5.0298
_cell_length_c 5.0298
_cell_angle_alpha 60.00
_cell_angle_beta 60.00
_cell_angle_gamma 60.00
loop_
_atom_site_label
_atom_site_type_symbol
_atom_site_fract_x
_atom_site_fract_y
_atom_site_fract_z
Mg1 Mg 0.0000 0.0000 0.0000
Mg2 Mg 0.2500 0.2500 0.2500
Ag1 Ag 0.7500 0.7500 0.7500
Sb1 Sb 0.5000 0.5000 0.5000
```

Results
Spin magnetization in μB per formula unit: 0.00
DOS at the Fermi energy in states/eV/atom: 0.358



Model Q:
This record from Alexandria describes a relaxed Mg2AgSb crystal. The functional is PBE.

CIF file:
```
data_Mg2AgSb
_symmetry_space_group_name_H-M 'P 1'
_symmetry_Int_Tables_number 1
_symmetry_space_group_name_Hall 'P 1'
_cell_length_a 6.6122
_cell_length_b 6.6122
_cell_length_c 4.7846
_cell_angle_alpha 107.55
_cell_angle_beta 107.55
_cell_angle_gamma 27.50
loop_
_atom_site_label
_atom_site_type_symbol
_atom_site_fract_x
_atom_site_fract_y
_atom_site_fract_z
Mg1 Mg 0.0000 0.0000 0.0000
Mg2 Mg 0.1955 0.1955 0.6533
Ag1 Ag 0.4991 0.4991 0.5047
Sb1 Sb 0.7879 0.7879 0.2316
```

Results
Spin magnetization in μB per formula unit: 0.00
DOS at the Fermi energy in states/eV/atom: 0.353



Least stable structure: model P



Model P:
This record from Alexandria describes a relaxed RbBaNb crystal. The functional is PBE.

CIF file:
```
data_RbBaNb
_symmetry_space_group_name_H-M 'P 1'
_symmetry_Int_Tables_number 1
_symmetry_space_group_name_Hall 'P 1'
_cell_length_a 6.1651
_cell_length_b 6.1651
_cell_length_c 6.1651
_cell_angle_alpha 60.00
_cell_angle_beta 60.00
_cell_angle_gamma 60.00
loop_
_atom_site_label
_atom_site_type_symbol
_atom_site_fract_x
_atom_site_fract_y
_atom_site_fract_z
Rb1 Rb 0.0000 0.0000 0.0000
Ba1 Ba 0.5000 0.5000 0.5000
Nb1 Nb 0.7500 0.7500 0.7500
```

Results
Spin magnetization in μB per formula unit: 5.98
DOS at the Fermi energy in states/eV/atom: 0.211



Model Q:
This record from Alexandria describes a relaxed RbBaNb crystal. The functional is PBE.

CIF file:
```
data_RbBaNb
_symmetry_space_group_name_H-M 'P 1'
_symmetry_Int_Tables_number 1
_symmetry_space_group_name_Hall 'P 1'
_cell_length_a 4.5374
_cell_length_b 7.2317
_cell_length_c 9.9956
_cell_angle_alpha 102.16
_cell_angle_beta 99.02
_cell_angle_gamma 90.06
loop_
_atom_site_label
_atom_site_type_symbol
_atom_site_fract_x
_atom_site_fract_y
_atom_site_fract_z
Rb1 Rb 0.0000 0.0000 0.0000
Rb2 Rb 0.4867 0.4530 0.8408
Ba1 Ba 0.1701 0.8578 0.5163
Ba2 Ba 0.6568 0.3123 0.3611
Nb1 Nb 0.1071 0.5836 0.1886
Nb2 Nb 0.5628 0.7274 0.2310
```

Results
Spin magnetization in μB per formula unit: 0.00
DOS at the Fermi energy in states/eV/atom: 1.033



Least stable structure: model P